Entry 1:
Ca2MnRu: relaxed, PBE.

Lattice parameters (Å, degrees): 6.3614 6.3614 6.3614 102.07 102.07 125.58
Fractional coordinates of all 8 atoms:
Ca 0.0925 0.6250 0.9675
Ca 0.3750 0.3425 0.4675
Ca 0.6575 0.1250 0.0325
Ca 0.8750 0.9075 0.5325
Mn 0.2500 0.7500 0.5000
Mn 0.5000 0.5000 0.0000
Ru 0.0000 0.0000 0.0000
Ru 0.7500 0.2500 0.5000

Values from the calculation:
Energy above the lowest structure with this stoichiometry: 1.988 eV/f.u.
DFT total energy: -19.66 eV per formula unit
SG: I-42d, No. 122

Entry 2:
CaMnRu2: relaxed, PBE.

Lattice parameters (Å, degrees): 4.9087 4.9087 2.8396 90.00 90.00 107.01
Fractional coordinates of all 4 atoms:
Ca 0.0000 0.0000 0.0000
Mn 0.5000 0.5000 0.0000
Ru 0.0000 0.5000 0.5000
Ru 0.5000 0.0000 0.5000

Values from the calculation:
Energy above the lowest structure with this stoichiometry: 1.074 eV/f.u.
DFT total energy: -27.67 eV per formula unit
SG: Cmmm, No. 65

Entry 3:
Ca4MnRu: relaxed, PBE.

Lattice parameters (Å, degrees): 6.1817 6.1817 6.1817 60.00 60.00 60.00
Fractional coordinates of all 6 atoms:
Ca 0.3760 0.3760 0.3760
Ca 0.3760 0.3760 0.8721
Ca 0.3760 0.8721 0.3760
Ca 0.8721 0.3760 0.3760
Mn 0.0000 0.0000 0.0000
Ru 0.7500 0.7500 0.7500

Values from the calculation:
DFT total energy: -20.08 eV per formula unit
SG: F-43m, No. 216

Entry 4:
CaMnRu3: relaxed, PBE.

Lattice parameters (Å, degrees): 4.4914 4.4914 4.4914 90.00 90.00 90.00
Fractional coordinates of all 5 atoms:
Ca 0.0000 0.0000 0.0000
Mn 0.5000 0.5000 0.5000
Ru 0.0000 0.5000 0.5000
Ru 0.5000 0.0000 0.5000
Ru 0.5000 0.5000 0.0000

Values from the calculation:
Energy above the lowest structure with this stoichiometry: 0.000 eV/f.u.
DFT total energy: -35.44 eV per formula unit
SG: Pm-3m, No. 221

Entry 5:
CaMnRu: relaxed, PBE.

Lattice parameters (Å, degrees): 7.9360 7.9360 5.7411 90.00 90.00 137.58
Fractional coordinates of all 12 atoms:
Ca 0.1695 0.8305 0.9995
Ca 0.3305 0.6695 0.4995
Ca 0.6695 0.3305 0.5005
Ca 0.8305 0.1695 0.0005
Mn 0.2498 0.2502 0.2500
Mn 0.2502 0.2498 0.7500
Mn 0.7498 0.7502 0.2500
Mn 0.7502 0.7498 0.7500
Ru 0.1024 0.8976 0.4993
Ru 0.3976 0.6024 0.9993
Ru 0.6024 0.3976 0.0007
Ru 0.8976 0.1024 0.5007

Values from the calculation:
Energy above the lowest structure with this stoichiometry: 0.042 eV/f.u.
DFT total energy: -19.67 eV per formula unit
SG: Cmce, No. 64

Entry 6:
CaMnRu: relaxed, PBE.

Lattice parameters (Å, degrees): 4.4725 4.4725 4.4725 60.00 60.00 60.00
Fractional coordinates of all 3 atoms:
Ca 0.0000 0.0000 0.0000
Mn 0.5000 0.5000 0.5000
Ru 0.7500 0.7500 0.7500

Values from the calculation:
Energy above the lowest structure with this stoichiometry: 1.303 eV/f.u.
DFT total energy: -18.41 eV per formula unit
SG: F-43m, No. 216

Entry 7:
CaMn2Ru2: relaxed, PBE.

Lattice parameters (Å, degrees): 6.0578 6.0578 6.0578 140.79 140.79 56.66
Fractional coordinates of all 5 atoms:
Ca 0.0000 0.0000 0.0000
Mn 0.2500 0.7500 0.5000
Mn 0.7500 0.2500 0.5000
Ru 0.3865 0.3865 0.0000
Ru 0.6135 0.6135 0.0000

Values from the calculation:
Energy above the lowest structure with this stoichiometry: 0.000 eV/f.u.
DFT total energy: -38.03 eV per formula unit
SG: I4/mmm, No. 139

Entry 8:
CaMnRu: relaxed, PBE.

Lattice parameters (Å, degrees): 3.1453 3.1453 6.7728 90.00 90.00 120.00
Fractional coordinates of all 3 atoms:
Ca 0.0000 0.0000 0.0000
Mn 0.6667 0.3333 0.4071
Ru 0.3333 0.6667 0.6609

Values from the calculation:
Energy above the lowest structure with this stoichiometry: 1.080 eV/f.u.
DFT total energy: -18.64 eV per formula unit
SG: P3m1, No. 156

Entry 9:
CaMnRu2: relaxed, PBE.

Lattice parameters (Å, degrees): 3.0715 4.4984 4.7302 90.00 90.00 90.00
Fractional coordinates of all 4 atoms:
Ca 0.0000 0.0000 0.0000
Mn 0.5000 0.0000 0.5000
Ru 0.0000 0.5000 0.5000
Ru 0.5000 0.5000 0.0000

Values from the calculation:
Energy above the lowest structure with this stoichiometry: 1.032 eV/f.u.
DFT total energy: -27.71 eV per formula unit
SG: Pmmm, No. 47

Entry 10:
CaMnRu3: relaxed, PBE.

Lattice parameters (Å, degrees): 4.5619 4.5619 4.5619 90.00 90.00 90.00
Fractional coordinates of all 5 atoms:
Ca 0.0000 0.0000 0.0000
Mn 0.5000 0.5000 0.5000
Ru 0.0000 0.0000 0.5000
Ru 0.0000 0.5000 0.0000
Ru 0.5000 0.0000 0.0000

Values from the calculation:
Energy above the lowest structure with this stoichiometry: 9.926 eV/f.u.
DFT total energy: -25.52 eV per formula unit
SG: Pm-3m, No. 221

Entry 11:
Ca2MnRu: relaxed, PBE.

Lattice parameters (Å, degrees): 4.9939 4.9939 4.9939 60.00 60.00 60.00
Fractional coordinates of all 4 atoms:
Ca 0.2500 0.2500 0.2500
Ca 0.7500 0.7500 0.7500
Mn 0.0000 0.0000 0.0000
Ru 0.5000 0.5000 0.5000

Values from the calculation:
Energy above the lowest structure with this stoichiometry: 1.045 eV/f.u.
DFT total energy: -20.60 eV per formula unit
SG: Fm-3m, No. 225

Entry 12:
CaMnRu: relaxed, PBE.

Lattice parameters (Å, degrees): 4.5325 4.5325 4.5325 60.00 60.00 60.00
Fractional coordinates of all 3 atoms:
Ca 0.0000 0.0000 0.0000
Mn 0.2500 0.2500 0.2500
Ru 0.7500 0.7500 0.7500

Values from the calculation:
Energy above the lowest structure with this stoichiometry: 3.449 eV/f.u.
DFT total energy: -16.27 eV per formula unit
SG: F-43m, No. 216

Entry 13:
Ca2MnRu: relaxed, PBE.

Lattice parameters (Å, degrees): 5.1507 5.1507 5.1507 125.39 125.39 80.89
Fractional coordinates of all 4 atoms:
Ca 0.2500 0.7500 0.5000
Ca 0.7500 0.2500 0.5000
Mn 0.0000 0.0000 0.0000
Ru 0.5000 0.5000 0.0000

Values from the calculation:
Energy above the lowest structure with this stoichiometry: 1.020 eV/f.u.
DFT total energy: -20.62 eV per formula unit
SG: I4/mmm, No. 139

Entry 14:
CaMnRu: relaxed, PBE.

Lattice parameters (Å, degrees): 5.8939 5.8939 5.8939 147.89 147.89 46.05
Fractional coordinates of all 3 atoms:
Ca 0.0000 0.0000 0.0000
Mn 0.7135 0.7135 0.0000
Ru 0.3050 0.3050 0.0000

Values from the calculation:
Energy above the lowest structure with this stoichiometry: 0.000 eV/f.u.
DFT total energy: -19.72 eV per formula unit
SG: I4mm, No. 107

Entry 15:
Ca3MnRu: relaxed, PBE.

Lattice parameters (Å, degrees): 5.1333 5.1333 5.1333 90.00 90.00 90.00
Fractional coordinates of all 5 atoms:
Ca 0.0000 0.0000 0.5000
Ca 0.0000 0.5000 0.0000
Ca 0.5000 0.0000 0.0000
Mn 0.0000 0.0000 0.0000
Ru 0.5000 0.5000 0.5000

Values from the calculation:
Energy above the lowest structure with this stoichiometry: 1.140 eV/f.u.
DFT total energy: -18.14 eV per formula unit
SG: Pm-3m, No. 221

Entry 16:
CaMnRu: relaxed, PBE.

Lattice parameters (Å, degrees): 3.9032 3.9032 4.7601 90.00 90.00 120.00
Fractional coordinates of all 3 atoms:
Ca 0.0000 0.0000 0.0000
Mn 0.6667 0.3333 0.4844
Ru 0.3333 0.6667 0.5155

Values from the calculation:
Energy above the lowest structure with this stoichiometry: 0.255 eV/f.u.
DFT total energy: -19.46 eV per formula unit
SG: P3m1, No. 156

Entry 17:
Ca2MnRu2: relaxed, PBE.

Lattice parameters (Å, degrees): 6.2734 6.2734 4.8866 90.00 90.00 90.00
Fractional coordinates of all 10 atoms:
Ca 0.1796 0.3204 0.0000
Ca 0.3204 0.8204 0.0000
Ca 0.6796 0.1796 0.0000
Ca 0.8204 0.6796 0.0000
Mn 0.0000 0.0000 0.5000
Mn 0.5000 0.5000 0.5000
Ru 0.1390 0.6390 0.5000
Ru 0.3610 0.1390 0.5000
Ru 0.6390 0.8610 0.5000
Ru 0.8610 0.3610 0.5000

Values from the calculation:
DFT total energy: -30.30 eV per formula unit
SG: P4/mbm, No. 127

Entry 18:
CaMnRu2: relaxed, PBE.

Lattice parameters (Å, degrees): 3.0651 3.0651 7.0370 90.00 90.00 90.00
Fractional coordinates of all 4 atoms:
Ca 0.0000 0.0000 0.0000
Mn 0.0000 0.0000 0.5000
Ru 0.5000 0.5000 0.3061
Ru 0.5000 0.5000 0.6939

Values from the calculation:
Energy above the lowest structure with this stoichiometry: 0.000 eV/f.u.
DFT total energy: -28.74 eV per formula unit
SG: P4/mmm, No. 123

Entry 19:
CaMnRu2: relaxed, PBE.

Lattice parameters (Å, degrees): 2.8621 4.1100 6.0099 90.00 103.32 90.00
Fractional coordinates of all 4 atoms:
Ca 0.0000 0.0000 0.0000
Mn 0.5000 0.0000 0.5000
Ru 0.3067 0.5000 0.6925
Ru 0.6933 0.5000 0.3075

Values from the calculation:
Energy above the lowest structure with this stoichiometry: 0.598 eV/f.u.
DFT total energy: -28.14 eV per formula unit
SG: P2/m, No. 10

Entry 20:
CaMn2Ru2: relaxed, PBE.

Lattice parameters (Å, degrees): 7.4499 7.4499 2.6994 90.00 90.00 90.00
Fractional coordinates of all 10 atoms:
Ca 0.0000 0.0000 0.0000
Ca 0.5000 0.5000 0.0000
Mn 0.1116 0.3884 0.0000
Mn 0.3884 0.8884 0.0000
Mn 0.6116 0.1116 0.0000
Mn 0.8884 0.6116 0.0000
Ru 0.1688 0.6688 0.5000
Ru 0.3312 0.1688 0.5000
Ru 0.6688 0.8312 0.5000
Ru 0.8312 0.3312 0.5000

Values from the calculation:
Energy above the lowest structure with this stoichiometry: 0.372 eV/f.u.
DFT total energy: -37.66 eV per formula unit
SG: P4/mbm, No. 127

Entry 21:
Ca2MnRu: relaxed, PBE.

Lattice parameters (Å, degrees): 9.9321 9.9321 9.9321 19.11 19.11 19.11
Fractional coordinates of all 4 atoms:
Ca 0.2391 0.2391 0.2391
Ca 0.7609 0.7609 0.7609
Mn 0.0000 0.0000 0.0000
Ru 0.5000 0.5000 0.5000

Values from the calculation:
Energy above the lowest structure with this stoichiometry: 1.718 eV/f.u.
DFT total energy: -19.93 eV per formula unit
SG: R-3m, No. 166

Entry 22:
CaMnRu2: relaxed, PBE.

Lattice parameters (Å, degrees): 4.7327 4.7327 5.3771 103.97 103.97 36.02
Fractional coordinates of all 4 atoms:
Ca 0.0000 0.0000 0.0000
Mn 0.5000 0.5000 0.5000
Ru 0.2245 0.2245 0.6816
Ru 0.7755 0.7755 0.3184

Values from the calculation:
Energy above the lowest structure with this stoichiometry: 0.414 eV/f.u.
DFT total energy: -28.33 eV per formula unit
SG: C2/m, No. 12

Entry 23:
Ca2MnRu: relaxed, PBE.

Lattice parameters (Å, degrees): 6.0951 6.0951 6.0951 147.08 130.86 60.42
Fractional coordinates of all 4 atoms:
Ca 0.0000 0.0000 0.0000
Ca 0.7080 0.2080 0.5000
Mn 0.4146 0.4146 0.0000
Ru 0.2559 0.7559 0.5000

Values from the calculation:
Energy above the lowest structure with this stoichiometry: 0.266 eV/f.u.
DFT total energy: -21.38 eV per formula unit
SG: Imm2, No. 44

Entry 24:
CaMn2Ru2: relaxed, PBE.

Lattice parameters (Å, degrees): 7.5414 7.5414 2.8294 90.00 90.00 90.00
Fractional coordinates of all 10 atoms:
Ca 0.0000 0.0000 0.0000
Ca 0.5000 0.5000 0.0000
Mn 0.1544 0.3456 0.5000
Mn 0.3456 0.8456 0.5000
Mn 0.6544 0.1544 0.5000
Mn 0.8456 0.6544 0.5000
Ru 0.1355 0.6355 0.0000
Ru 0.3645 0.1355 0.0000
Ru 0.6355 0.8645 0.0000
Ru 0.8645 0.3645 0.0000

Values from the calculation:
Energy above the lowest structure with this stoichiometry: 0.400 eV/f.u.
DFT total energy: -37.63 eV per formula unit
SG: P4/mbm, No. 127

Entry 25:
Ca2MnRu: relaxed, PBE.

Lattice parameters (Å, degrees): 4.5091 4.5091 4.2481 90.00 90.00 90.00
Fractional coordinates of all 4 atoms:
Ca 0.0000 0.5000 0.0000
Ca 0.5000 0.0000 0.0000
Mn 0.0000 0.0000 0.5000
Ru 0.5000 0.5000 0.5000

Values from the calculation:
Energy above the lowest structure with this stoichiometry: 1.117 eV/f.u.
DFT total energy: -20.53 eV per formula unit
SG: P4/mmm, No. 123

Entry 26:
CaMnRu2: relaxed, PBE.

Lattice parameters (Å, degrees): 2.8764 4.3764 5.6140 90.00 104.16 90.00
Fractional coordinates of all 4 atoms:
Ca 0.0000 0.0000 0.0000
Mn 0.6325 0.5000 0.2715
Ru 0.3124 0.5000 0.6512
Ru 0.7300 0.0000 0.5007

Values from the calculation:
Energy above the lowest structure with this stoichiometry: 0.657 eV/f.u.
DFT total energy: -28.08 eV per formula unit
SG: Pm, No. 6

Entry 27:
Ca2MnRu: relaxed, PBE.

Lattice parameters (Å, degrees): 3.6763 3.6763 6.5431 90.00 90.00 90.00
Fractional coordinates of all 4 atoms:
Ca 0.0000 0.0000 0.2299
Ca 0.0000 0.0000 0.7701
Mn 0.5000 0.5000 0.5000
Ru 0.5000 0.5000 0.0000

Values from the calculation:
Energy above the lowest structure with this stoichiometry: 1.101 eV/f.u.
DFT total energy: -20.54 eV per formula unit
SG: P4/mmm, No. 123

Entry 28:
CaMnRu2: relaxed, PBE.

Lattice parameters (Å, degrees): 8.9216 8.9216 8.9216 18.94 18.94 18.94
Fractional coordinates of all 4 atoms:
Ca 0.0000 0.0000 0.0000
Mn 0.5000 0.5000 0.5000
Ru 0.2397 0.2397 0.2397
Ru 0.7603 0.7603 0.7603

Values from the calculation:
Energy above the lowest structure with this stoichiometry: 0.937 eV/f.u.
DFT total energy: -27.80 eV per formula unit
SG: R-3m, No. 166

Entry 29:
CaMn4Ru: relaxed, PBE.

Lattice parameters (Å, degrees): 4.8742 4.8742 4.8742 60.00 60.00 60.00
Fractional coordinates of all 6 atoms:
Ca 0.0000 0.0000 0.0000
Mn 0.3757 0.3757 0.3757
Mn 0.3757 0.3757 0.8728
Mn 0.3757 0.8728 0.3757
Mn 0.8728 0.3757 0.3757
Ru 0.7500 0.7500 0.7500

Values from the calculation:
DFT total energy: -45.46 eV per formula unit
SG: F-43m, No. 216